Version P
{"formula": "KCrBi2", "functional": "PBE", "state": "optimized geometry", "lattice": [[0.000, 3.837, 3.837], [3.837, 0.000, 3.837], [3.837, 3.837, 0.000]], "species": ["K", "Cr", "Bi", "Bi"], "frac_coords": [[0.000, 0.000, 0.000], [0.500, 0.500, 0.500], [0.250, 0.250, 0.250], [0.750, 0.750, 0.750]], "n_ef_per_ev_atom": 0.493}

***

Version Q
{"formula": "KCrBi2", "functional": "PBE", "state": "optimized geometry", "lattice": [[-3.017, 3.017, 9.003], [3.017, -3.017, 9.003], [3.017, 3.017, -9.003]], "species": ["K", "K", "Cr", "Cr", "Bi", "Bi", "Bi", "Bi"], "frac_coords": [[0.000, 0.000, 0.000], [0.750, 0.250, 0.500], [0.250, 0.750, 0.500], [0.500, 0.500, 0.000], [0.286, 0.625, 0.161], [0.375, 0.536, 0.661], [0.464, 0.125, 0.839], [0.875, 0.714, 0.339]], "n_ef_per_ev_atom": 0.536}

***

Most stable structure: version Q

***

Version P
{"formula": "KCrSiBi", "functional": "PBE", "state": "optimized geometry", "lattice": [[4.377, -2.221, 0.000], [4.377, 2.221, 0.000], [-1.869, 0.000, 6.441]], "species": ["K", "Cr", "Si", "Bi"], "frac_coords": [[0.000, 0.000, 0.000], [0.262, 0.262, 0.495], [0.782, 0.782, 0.348], [0.597, 0.597, 0.616]], "n_ef_per_ev_atom": 0.634}

***

Version Q
{"formula": "KCrSiBi", "functional": "PBE", "state": "optimized geometry", "lattice": [[4.092, -1.917, 0.000], [4.092, 1.917, 0.000], [-1.684, 0.000, 7.147]], "species": ["K", "Cr", "Si", "Bi"], "frac_coords": [[0.000, 0.000, 0.000], [0.468, 0.468, 0.411], [0.756, 0.756, 0.341], [0.212, 0.212, 0.618]], "n_ef_per_ev_atom": 0.436}

***

Most stable structure: version Q

***

Version P
{"formula": "Li2CrBi2", "functional": "PBE", "state": "optimized geometry", "lattice": [[7.138, 0.000, 0.000], [0.000, 7.138, 0.000], [0.000, 0.000, 4.231]], "species": ["Li", "Li", "Li", "Li", "Cr", "Cr", "Bi", "Bi", "Bi", "Bi"], "frac_coords": [[0.152, 0.348, 0.000], [0.348, 0.848, 0.000], [0.652, 0.152, 0.000], [0.848, 0.652, 0.000], [0.000, 0.000, 0.500], [0.500, 0.500, 0.500], [0.160, 0.660, 0.500], [0.340, 0.160, 0.500], [0.660, 0.840, 0.500], [0.840, 0.340, 0.500]], "n_ef_per_ev_atom": 0.270}

***

Version Q
{"formula": "Li2CrBi2", "functional": "PBE", "state": "optimized geometry", "lattice": [[-2.614, 2.614, 3.747], [2.614, -2.614, 3.747], [2.614, 2.614, -3.747]], "species": ["Li", "Li", "Cr", "Bi", "Bi"], "frac_coords": [[0.154, 0.154, 0.000], [0.846, 0.846, 0.000], [0.500, 0.500, 0.000], [0.250, 0.750, 0.500], [0.750, 0.250, 0.500]], "n_ef_per_ev_atom": 0.749}

***

Most stable structure: version P

***

Version P
{"formula": "LiCr2Bi2", "functional": "PBE", "state": "optimized geometry", "lattice": [[-2.549, 2.549, 4.206], [2.549, -2.549, 4.206], [2.549, 2.549, -4.206]], "species": ["Li", "Cr", "Cr", "Bi", "Bi"], "frac_coords": [[0.000, 0.000, 0.000], [0.392, 0.392, 0.000], [0.608, 0.608, 0.000], [0.250, 0.750, 0.500], [0.750, 0.250, 0.500]], "n_ef_per_ev_atom": 0.526}

***

Version Q
{"formula": "LiCr2Bi2", "functional": "PBE", "state": "optimized geometry", "lattice": [[8.088, 0.000, 0.000], [0.000, 8.088, 0.000], [0.000, 0.000, 3.363]], "species": ["Li", "Li", "Cr", "Cr", "Cr", "Cr", "Bi", "Bi", "Bi", "Bi"], "frac_coords": [[0.000, 0.000, 0.000], [0.500, 0.500, 0.000], [0.083, 0.417, 0.000], [0.417, 0.917, 0.000], [0.583, 0.083, 0.000], [0.917, 0.583, 0.000], [0.190, 0.690, 0.500], [0.310, 0.190, 0.500], [0.690, 0.810, 0.500], [0.810, 0.310, 0.500]], "n_ef_per_ev_atom": 0.795}

***

Most stable structure: version P

***

Version P
{"formula": "LiCrBi2Se", "functional": "PBE", "state": "optimized geometry", "lattice": [[5.731, 0.000, 0.000], [0.000, 5.731, 0.000], [0.000, 0.000, 4.377]], "species": ["Li", "Cr", "Bi", "Bi", "Se"], "frac_coords": [[0.000, 0.000, 0.000], [0.500, 0.500, 0.000], [0.000, 0.500, 0.500], [0.500, 0.000, 0.500], [0.000, 0.000, 0.500]], "n_ef_per_ev_atom": 0.533}

***

Version Q
{"formula": "LiCrBi2Se", "functional": "PBE", "state": "optimized geometry", "lattice": [[5.428, 0.000, 0.000], [0.000, 5.428, 0.000], [0.000, 0.000, 4.712]], "species": ["Li", "Cr", "Bi", "Bi", "Se"], "frac_coords": [[0.000, 0.000, 0.000], [0.500, 0.500, 0.500], [0.000, 0.500, 0.500], [0.500, 0.000, 0.500], [0.500, 0.500, 0.000]], "n_ef_per_ev_atom": 0.921}

***

Most stable structure: version Q

***

Version P
{"formula": "MgCr3Bi", "functional": "PBE", "state": "optimized geometry", "lattice": [[4.966, 0.000, 0.000], [0.000, 4.966, 0.000], [0.000, 0.000, 4.966]], "species": ["Mg", "Cr", "Cr", "Cr", "Bi"], "frac_coords": [[0.000, 0.000, 0.000], [0.000, 0.000, 0.500], [0.000, 0.500, 0.000], [0.500, 0.000, 0.000], [0.500, 0.500, 0.500]], "n_ef_per_ev_atom": 0.776}

***

Version Q
{"formula": "MgCr3Bi", "functional": "PBE", "state": "optimized geometry", "lattice": [[5.290, 0.000, 0.000], [0.000, 5.290, 0.000], [0.000, 0.000, 5.290]], "species": ["Mg", "Cr", "Cr", "Cr", "Bi"], "frac_coords": [[0.000, 0.000, 0.000], [0.000, 0.500, 0.500], [0.500, 0.000, 0.500], [0.500, 0.500, 0.000], [0.500, 0.500, 0.500]], "n_ef_per_ev_atom": 0.531}

***

Most stable structure: version Q